Material: CeDy4Tm7
Method: DFT, PBE
State: relaxed

Summary:
The value obtained for the theoretical density is 8.794 g cm⁻³. The value obtained for the energy relative to the elements is 0.15 eV/atom. Its total energy is -4.487 eV/atom.

a = 5.8963 Å, b = 6.7840 Å, c = 9.9086 Å
α = 109.98°, β = 90.31°, γ = 90.01°
With the nearest neighbours (Å) after each atom.
Space group P-1 (No. 2)
Asymmetric unit:
Ce 0.0000 0.0000 0.0000 [1 per cell]  2 Tm 2.95
Dy 0.2544 0.1321 0.7266 [2 per cell]  1 Dy 3.13, 2 Tm 3.32-3.44, 1 Ce 3.48
Dy 0.2540 0.5934 0.7264 [2 per cell]  1 Dy 3.13, 2 Tm 3.33-3.45, 1 Ce 3.48
Tm 0.2440 0.7148 0.4283 [2 per cell]  5 Tm 3.25-3.49, 4 Dy 3.32-3.62
Tm 0.2514 0.1876 0.3735 [2 per cell]  5 Tm 3.43-3.78, 6 Dy 3.57-3.64, 1 Ce 3.77
Tm 0.2506 0.5393 0.0793 [2 per cell]  3 Tm 3.25-3.30, 2 Dy 3.64
Tm 0.5000 0.0000 0.0000 [1 per cell]  2 Ce 2.95

Material: CeDy12Tm3
Method: DFT, PBE
State: relaxed

Summary:
The value obtained for the theoretical density is 8.658 g cm⁻³. The value obtained for the energy relative to the elements is 0.03 eV/atom. Its total energy is -4.629 eV/atom.

a = 4.9941 Å, b = 4.9941 Å, c = 19.9703 Å
α = 90.00°, β = 90.00°, γ = 90.00°
With the nearest neighbours (Å) after each atom.
Space group P4/mmm (No. 123)
Asymmetric unit:
Ce 0.0000 0.0000 0.0000 [1 per cell]  12 Dy 3.53
Dy 0.0000 0.5000 0.1249 [4 per cell]  2 Tm 3.53, 8 Dy 3.53-3.56, 2 Ce 3.53
Dy 0.0000 0.5000 0.3750 [4 per cell]  8 Dy 3.50-3.53, 4 Tm 3.53
Dy 0.5000 0.5000 0.0000 [1 per cell]  8 Dy 3.53, 4 Ce 3.53
Dy 0.5000 0.5000 0.2519 [2 per cell]  8 Dy 3.50-3.56, 4 Tm 3.53
Dy 0.5000 0.5000 0.5000 [1 per cell]  8 Dy 3.53, 4 Tm 3.53
Tm 0.0000 0.0000 0.2498 [2 per cell]  12 Dy 3.53
Tm 0.0000 0.0000 0.5000 [1 per cell]  12 Dy 3.53

Material: CeDy3Tm7
Method: DFT, PBE
State: relaxed

Summary:
The value obtained for the theoretical density is 8.461 g cm⁻³. The value obtained for the energy relative to the elements is 0.21 eV/atom. Its total energy is -4.433 eV/atom.

a = 6.9394 Å, b = 6.9394 Å, c = 8.5188 Å
α = 90.00°, β = 90.00°, γ = 120.00°
With the nearest neighbours (Å) after each atom.
Space group P3m1 (No. 156)
Asymmetric unit:
Ce 0.0000 0.0000 0.0000 [1 per cell]  9 Tm 3.42-3.47, 3 Dy 3.47
Dy 0.1655 0.3309 0.6658 [3 per cell]  4 Dy 3.44-3.49, 1 Ce 3.47, 5 Tm 3.49-3.50
Tm 0.0009 0.5005 0.0004 [3 per cell]  7 Tm 3.44-3.48, 2 Ce 3.47, 2 Dy 3.49
Tm 0.3295 0.1647 0.3277 [3 per cell]  1 Ce 3.42, 8 Tm 3.43-3.51, 2 Dy 3.50
Tm 0.3333 0.6667 0.3309 [1 per cell]  9 Tm 3.45-3.47, 3 Dy 3.49

Material: CeDy6Tm12
Method: DFT, PBE
State: relaxed

Summary:
The value obtained for the theoretical density is 8.621 g cm⁻³. The value obtained for the energy relative to the elements is 0.22 eV/atom. Its total energy is -4.370 eV/atom.

a = 13.0807 Å, b = 13.0807 Å, c = 12.2539 Å
α = 90.00°, β = 90.00°, γ = 120.00°
With the nearest neighbours (Å) after each atom.
Space group R-3m (No. 166, hexagonal axes)
Asymmetric unit:
Ce 0.0000 0.0000 0.0000 [3 per cell]  6 Dy 3.39, 6 Tm 3.79
Dy 0.0375 0.5187 0.6231 [18 per cell]  1 Dy 3.13, 2 Tm 3.34, 1 Ce 3.39
Tm 0.0000 0.2567 0.5000 [18 per cell]  6 Tm 3.29-3.49, 4 Dy 3.34-3.55
Tm 0.0906 0.1812 0.2602 [18 per cell]  6 Tm 3.29-3.55, 2 Dy 3.66